1.
# Nd7PbBr12, relaxed, DFT PBE
# - ΔE_f (raw) (eV/atom) = -1.53
data_Nd7PbBr12
_cell_length_a 16.8541
_cell_length_b 16.8541
_cell_length_c 8.0218
_cell_angle_alpha 90.00
_cell_angle_beta 90.00
_cell_angle_gamma 120.00
_symmetry_space_group_name_H-M 'R -3'
_symmetry_Int_Tables_number 148
_symmetry_space_group_name_Hall '-R 3'
loop_
_atom_site_label
_atom_site_fract_x
_atom_site_fract_y
_atom_site_fract_z
Nd1 0.0000 0.0000 0.0000
Nd2 0.0502 0.1783 0.2686
Pb1 0.0000 0.0000 0.5000
Br1 0.0502 0.5982 0.1573
Br2 0.0551 0.1954 0.8771

=====

2.
# La2YPt, relaxed, DFT PBE
# - energy above the lowest structure with this stoichiometry (meV/atom) = 137.2
# - formation energy from the elements (eV per formula unit) = -2.0
data_La2YPt
_cell_length_a 3.9791
_cell_length_b 3.9791
_cell_length_c 28.8445
_cell_angle_alpha 90.00
_cell_angle_beta 90.00
_cell_angle_gamma 120.00
_symmetry_space_group_name_H-M 'R 3 m'
_symmetry_Int_Tables_number 160
_symmetry_space_group_name_Hall 'R 3 -2"'
loop_
_atom_site_label
_atom_site_fract_x
_atom_site_fract_y
_atom_site_fract_z
La1 0.0000 0.0000 0.0000
La2 0.0000 0.0000 0.2262
Y1 0.0000 0.0000 0.7734
Pt1 0.0000 0.0000 0.4968

=====

3.
# Sc2AlIrN, relaxed, DFT PBE
# - ΔE_f (raw) (eV/atom) = -1.06
data_Sc2AlIrN
_cell_length_a 4.406
_cell_length_b 4.406
_cell_length_c 3.810
_cell_angle_alpha 90.00
_cell_angle_beta 90.00
_cell_angle_gamma 90.00
_symmetry_space_group_name_H-M 'P 4/m m m'
_symmetry_Int_Tables_number 123
_symmetry_space_group_name_Hall '-P 4 2'
loop_
_atom_site_label
_atom_site_fract_x
_atom_site_fract_y
_atom_site_fract_z
Sc1 0.000 0.500 0.000
Al1 0.000 0.000 0.500
Ir1 0.500 0.500 0.500
N1 0.000 0.000 0.000

=====

Total moment / μB per formula unit: 0.0 0.0 0.0